(1)
RuPtCl2 after structural relaxation. Source: Alexandria, functional PBE.

Unit cell a=6.241 b=6.241 c=4.625 alpha=80.25 beta=80.25 gamma=31.00
Element x y z (fractional)
Ru  0.250  0.250  0.250
Cl  0.618  0.618  0.448
Cl  0.882  0.882  0.052
Pt  0.750  0.750  0.750

Density of states at the Fermi level   0.41 states/eV per atom
Raw formation energy   16 kJ/mol of atoms
Mass density   6.67 Mg/m³
Raw total energy   -4.58 eV per atom
Symmetry   C2/m, No. 12
Distance to the lowest polymorph of the same formula   144 meV per atom



(2)
RuPtCl2 after structural relaxation. Source: Alexandria, functional PBE.

Unit cell a=3.072 b=3.072 c=8.465 alpha=90.00 beta=90.00 gamma=97.31
Each line ends with the local moment (μB).
Element x y z (fractional)
Pt  0.000  0.000  0.535  0.16
Ru  0.500  0.500  0.722  1.12
Cl  0.500  0.500  0.332  0.00
Cl  0.000  0.000  0.912  0.04

Density of states at the Fermi level   0.96 states/eV per atom
Raw formation energy   24 kJ/mol of atoms
Mass density   7.69 Mg/m³
Raw total energy   -4.50 eV per atom
Symmetry   Cmm2, No. 35
Distance to the lowest polymorph of the same formula   228 meV per atom



(3)
RuPtCl2 after structural relaxation. Source: Alexandria, functional PBE.

Unit cell a=8.507 b=8.507 c=8.507 alpha=21.28 beta=21.28 gamma=21.28
Each line ends with the local moment (μB).
Element x y z (fractional)
Pt  0.000  0.000  0.000  0.00
Ru  0.500  0.500  0.500  2.07
Cl  0.906  0.906  0.906  0.12
Cl  0.094  0.094  0.094  0.12

Density of states at the Fermi level   1.00 states/eV per atom
Raw formation energy   41 kJ/mol of atoms
Mass density   8.58 Mg/m³
Raw total energy   -4.32 eV per atom
Symmetry   R-3m, No. 166
Distance to the lowest polymorph of the same formula   404 meV per atom



(4)
RuPtCl2 after structural relaxation. Source: Alexandria, functional PBE.

Unit cell a=4.411 b=4.411 c=3.562 alpha=90.00 beta=90.00 gamma=89.95
Each line ends with the local moment (μB).
Element x y z (fractional)
Cl  0.500  0.500  0.000  0.19
Ru  0.000  0.500  0.500  2.69
Cl  0.000  0.000  0.000  0.19
Pt  0.500  0.000  0.500  0.43

Density of states at the Fermi level   1.23 states/eV per atom
Raw formation energy   91 kJ/mol of atoms
Mass density   8.80 Mg/m³
Raw total energy   -3.81 eV per atom
Symmetry   P4/mmm, No. 123
Distance to the lowest polymorph of the same formula   918 meV per atom